Compound: Tb2Pm3DyHo6
Source: Alexandria
Functional: PBE
Structure: relaxed

Lattice parameters (Å, degrees): 6.175 6.175 11.772 95.00 95.00 119.97
Fractional positions:
Tb 0.167 0.833 0.000
Tb 0.833 0.167 0.000
Pm 0.000 0.000 0.500
Pm 0.333 0.667 0.500
Pm 0.667 0.333 0.500
Dy 0.500 0.500 0.000
Ho 0.084 0.417 0.752
Ho 0.250 0.250 0.248
Ho 0.417 0.084 0.752
Ho 0.583 0.916 0.248
Ho 0.750 0.750 0.752
Ho 0.916 0.583 0.248

## Properties
- DFT total energy: -4.615 eV per atom
- Symmetry: C2/m, No. 12

Compound: NdCu2Si2
Source: Alexandria
Functional: PBE
Structure: relaxed

Lattice parameters (Å, degrees): 4.080 4.080 5.752 110.66 110.66 90.00
Fractional positions:
Nd 0.000 0.000 0.000
Cu 0.249 0.751 0.500
Cu 0.751 0.249 0.500
Si 0.379 0.379 0.758
Si 0.621 0.621 0.242

## Properties
- Uncorrected formation energy: -287 kJ/mol of formula units
- DFT total energy: -5.357 eV per atom
- Symmetry: C2/m, No. 12

Compound: SmDy9Ho2
Source: Alexandria
Functional: PBE
Structure: relaxed

Lattice parameters (Å, degrees): 11.208 11.208 3.497 90.00 90.00 120.00
Fractional positions:
Sm 0.000 0.000 0.000
Dy 0.000 0.500 0.000
Dy 0.177 0.355 0.500
Dy 0.177 0.823 0.500
Dy 0.355 0.177 0.500
Dy 0.500 0.000 0.000
Dy 0.500 0.500 0.000
Dy 0.645 0.823 0.500
Dy 0.823 0.177 0.500
Dy 0.823 0.645 0.500
Ho 0.333 0.667 0.000
Ho 0.667 0.333 0.000

## Properties
- DFT total energy: -4.565 eV per atom
- Symmetry: P6/mmm, No. 191
- Relative energy among the computed polymorphs: 2.1 kJ/mol of atoms